The following is a DFT calculation (PBE) of a geometry-optimized PrDy5Hg6 structure.

Computed properties:
DOS(E_F)   1.082 states/eV/atom
Total magnetic moment   1.098 μB per formula unit
Volume   315.7 Å³ per cell
Energy of formation from the pure elements   -474 meV per atom

Cell lengths 5.266, 7.538, 8.369 Å; angles 90.00, 108.16, 90.00 degrees
Site moments in Bohr magnetons follow the coordinates.
Positions (direct):
Pr: 0.000 0.000 0.000  0.17
Hg: 0.830 0.743 0.658  0.01
Hg: 0.830 0.257 0.658  0.01
Hg: 0.500 0.259 0.000  0.01
Hg: 0.500 0.741 0.000  0.01
Hg: 0.170 0.743 0.342  0.01
Hg: 0.170 0.257 0.342  0.01
Dy: 0.664 0.500 0.328  0.05
Dy: 0.332 0.000 0.664  0.15
Dy: 0.000 0.500 0.000  0.10
Dy: 0.668 0.000 0.336  0.15
Dy: 0.336 0.500 0.672  0.05